# 1
VASP calculation (GGA-PBE) on a relaxed Tl3NiIr crystal.

```
Tl3NiIr
1.0
4.961 0.000 0.000
0.000 4.961 0.000
0.000 0.000 4.961
Tl Ni Ir
3 1 1
direct
0.000 0.000 0.500 Tl
0.000 0.500 0.000 Tl
0.500 0.000 0.000 Tl
0.000 0.000 0.000 Ni
0.500 0.500 0.500 Ir
```

Output
The calculated density comes out at 11.750 Mg/m³. Its total DFT energy (no corrections) is -3.49 eV per atom. The offset from the most stable computed form comes out at 139 meV/atom.



# 2
VASP calculation (GGA-PBE) on a relaxed Tl2NiIr crystal.

```
Tl2NiIr
1.0
6.068 0.000 0.000
0.000 6.068 0.000
0.000 0.000 12.014
Tl Ni Ir
8 4 4
direct
0.239 0.250 0.125 Tl
0.250 0.739 0.375 Tl
0.250 0.761 0.875 Tl
0.261 0.250 0.625 Tl
0.739 0.750 0.625 Tl
0.750 0.239 0.875 Tl
0.750 0.261 0.375 Tl
0.761 0.750 0.125 Tl
0.000 0.000 0.000 Ni
0.000 0.500 0.250 Ni
0.500 0.000 0.750 Ni
0.500 0.500 0.500 Ni
0.000 0.000 0.500 Ir
0.000 0.500 0.750 Ir
0.500 0.000 0.250 Ir
0.500 0.500 0.000 Ir
```

Output
The calculated density comes out at 9.905 Mg/m³. Its total DFT energy (no corrections) is -3.80 eV per atom. The offset from the most stable computed form comes out at 691 meV/atom.



# 3
VASP calculation (GGA-PBE) on a relaxed TlNiIr2 crystal.

```
TlNiIr2
1.0
2.870 0.000 0.000
0.000 2.870 0.000
0.000 0.000 7.637
Tl Ni Ir
1 1 2
direct
0.000 0.000 0.000 Tl
0.500 0.500 0.741 Ni
0.000 0.000 0.524 Ir
0.500 0.500 0.294 Ir
```

Output
The calculated density comes out at 17.091 Mg/m³. Its total DFT energy (no corrections) is -6.11 eV per atom. The offset from the most stable computed form comes out at 6 meV/atom.



# 4
VASP calculation (GGA-PBE) on a relaxed TlNiIr2 crystal.

```
TlNiIr2
1.0
2.853 0.000 0.000
0.000 4.682 0.000
0.000 0.000 4.711
Tl Ni Ir
1 1 2
direct
0.000 0.000 0.000 Tl
0.500 0.500 0.000 Ni
0.000 0.500 0.500 Ir
0.500 0.000 0.500 Ir
```

Output
The calculated density comes out at 17.085 Mg/m³. Its total DFT energy (no corrections) is -5.99 eV per atom. The offset from the most stable computed form comes out at 118 meV/atom.



# 5
VASP calculation (GGA-PBE) on a relaxed TlNiIr2 crystal.

```
TlNiIr2
1.0
2.832 0.000 0.000
0.000 3.765 0.000
0.000 0.000 5.939
Tl Ni Ir
1 1 2
direct
0.000 0.000 0.000 Tl
0.500 0.500 0.733 Ni
0.000 0.000 0.520 Ir
0.500 0.500 0.305 Ir
```

Output
The calculated density comes out at 16.976 Mg/m³. Its total DFT energy (no corrections) is -6.11 eV per atom. The offset from the most stable computed form comes out at 3 meV/atom.



# 6
VASP calculation (GGA-PBE) on a relaxed Tl2NiIr2 crystal.

```
Tl2NiIr2
1.0
6.555 0.000 0.000
0.000 6.555 0.000
0.000 0.000 4.289
Tl Ni Ir
4 2 4
direct
0.176 0.324 0.000 Tl
0.324 0.824 0.000 Tl
0.676 0.176 0.000 Tl
0.824 0.676 0.000 Tl
0.000 0.000 0.500 Ni
0.500 0.500 0.500 Ni
0.136 0.636 0.500 Ir
0.364 0.136 0.500 Ir
0.636 0.864 0.500 Ir
0.864 0.364 0.500 Ir
```

Output
The calculated density comes out at 15.354 Mg/m³. Its total DFT energy (no corrections) is -5.24 eV per atom. The offset from the most stable computed form comes out at 0 meV/atom.



# 7
VASP calculation (GGA-PBE) on a relaxed Tl2NiIr crystal.

```
Tl2NiIr
1.0
8.383 0.000 0.000
0.000 3.204 0.000
-1.233 0.000 5.581
Tl Ni Ir
4 2 2
direct
0.246 0.000 0.242 Tl
0.254 0.500 0.758 Tl
0.746 0.500 0.242 Tl
0.754 0.000 0.758 Tl
0.000 0.500 0.000 Ni
0.500 0.000 0.000 Ni
0.000 0.000 0.500 Ir
0.500 0.500 0.500 Ir
```

Output
The calculated density comes out at 14.617 Mg/m³. Its total DFT energy (no corrections) is -4.32 eV per atom. The offset from the most stable computed form comes out at 167 meV/atom.



# 8
VASP calculation (GGA-PBE) on a relaxed TlNiIr2 crystal.

```
TlNiIr2
1.0
2.835 0.000 0.000
0.000 4.629 0.000
-0.136 0.000 4.831
Tl Ni Ir
1 1 2
direct
0.000 0.000 0.000 Tl
0.500 0.000 0.500 Ni
0.267 0.500 0.727 Ir
0.733 0.500 0.273 Ir
```

Output
The calculated density comes out at 16.959 Mg/m³. Its total DFT energy (no corrections) is -6.02 eV per atom. The offset from the most stable computed form comes out at 87 meV/atom.



# 9
VASP calculation (GGA-PBE) on a relaxed Tl2NiIr crystal.

```
Tl2NiIr
1.0
6.610 0.000 0.000
0.000 6.610 0.000
0.000 0.000 6.610
Tl Ni Ir
8 4 4
direct
0.250 0.250 0.250 Tl
0.250 0.250 0.750 Tl
0.250 0.750 0.250 Tl
0.250 0.750 0.750 Tl
0.750 0.250 0.250 Tl
0.750 0.250 0.750 Tl
0.750 0.750 0.250 Tl
0.750 0.750 0.750 Tl
0.000 0.000 0.000 Ni
0.000 0.500 0.500 Ni
0.500 0.000 0.500 Ni
0.500 0.500 0.000 Ni
0.000 0.000 0.500 Ir
0.000 0.500 0.000 Ir
0.500 0.000 0.000 Ir
0.500 0.500 0.500 Ir
```

Output
The calculated density comes out at 15.170 Mg/m³. Its total DFT energy (no corrections) is -4.36 eV per atom. The offset from the most stable computed form comes out at 127 meV/atom.



# 10
VASP calculation (GGA-PBE) on a relaxed Tl2NiIr crystal.

```
Tl2NiIr
1.0
3.180 0.000 0.000
0.000 3.180 0.000
0.000 0.000 7.077
Tl Ni Ir
2 1 1
direct
0.000 0.000 0.240 Tl
0.000 0.000 0.760 Tl
0.500 0.500 0.000 Ni
0.500 0.500 0.500 Ir
```

Output
The calculated density comes out at 15.301 Mg/m³. Its total DFT energy (no corrections) is -4.37 eV per atom. The offset from the most stable computed form comes out at 120 meV/atom.



# 11
VASP calculation (GGA-PBE) on a relaxed TlNiIr crystal.

```
TlNiIr
1.0
3.014 0.000 0.000
0.000 3.014 0.000
0.000 0.000 10.596
Tl Ni Ir
2 2 2
direct
0.000 0.000 0.000 Tl
0.500 0.500 0.500 Tl
0.000 0.000 0.327 Ni
0.500 0.500 0.827 Ni
0.000 0.000 0.690 Ir
0.500 0.500 0.190 Ir
```

Output
The calculated density comes out at 15.709 Mg/m³. Its total DFT energy (no corrections) is -5.23 eV per atom. The offset from the most stable computed form comes out at 0 meV/atom.



# 12
VASP calculation (GGA-PBE) on a relaxed Tl2NiIr crystal.

```
Tl2NiIr
1.0
4.027 0.000 0.000
0.000 3.954 0.000
0.000 0.000 9.909
Tl Ni Ir
4 2 2
direct
0.000 0.000 0.000 Tl
0.000 0.500 0.500 Tl
0.500 0.000 0.295 Tl
0.500 0.500 0.795 Tl
0.000 0.000 0.717 Ni
0.000 0.500 0.217 Ni
0.500 0.000 0.580 Ir
0.500 0.500 0.080 Ir
```

Output
The calculated density comes out at 13.885 Mg/m³. Its total DFT energy (no corrections) is -4.49 eV per atom. The offset from the most stable computed form comes out at 0 meV/atom.